Record 1
DFT (GGA-PBEsol) results for a relaxed structure of LiNiBr2.

The value obtained for the formation energy (no corrections) is -2.0 eV per formula unit.

The space group is I-4m2 (No. 119) and the conventional cell measures 3.4774, 3.4774 and 14.2374 Å, with angles of 90.00, 90.00 and 90.00 degrees. Symmetry generates all atoms from Li at (0.0000, 0.0000, 0.0000), Ni at (0.0000, 0.5000, 0.2500), Br at (0.0000, 0.0000, 0.5000) and Br at (0.0000, 0.5000, 0.7500).



Record 2
DFT (GGA-PBEsol) results for a relaxed structure of Li2OsBr2.

The value obtained for the formation energy (no corrections) is 2.5 eV per formula unit.

The space group is I4/mmm (No. 139) and the conventional cell measures 4.9983, 4.9983 and 8.4143 Å, with angles of 90.00, 90.00 and 90.00 degrees. Symmetry generates all atoms from Li at (0.0000, 0.0000, 0.1804), Os at (0.0000, 0.0000, 0.5000) and Br at (0.0000, 0.5000, 0.2500).



Record 3
DFT (GGA-PBEsol) results for a relaxed structure of LiOs3Br.

The value obtained for the formation energy (no corrections) is 11.5 eV per formula unit.

The space group is Pm-3m (No. 221) and the conventional cell measures 4.5158, 4.5158 and 4.5158 Å, with angles of 90.00, 90.00 and 90.00 degrees. Symmetry generates all atoms from Li at (0.0000, 0.0000, 0.0000), Os at (0.0000, 0.5000, 0.5000) and Br at (0.5000, 0.5000, 0.5000).